Material: Ce5Pu2In5
Method: DFT, PBE
State: relaxed

Cell: 15.4618 4.8415 9.6318 Å, 90.00 118.23 90.00°
Closest atoms and distances in Å follow each position.
Space group C2/m (No. 12)
One atom of each set of equivalent atoms:
Ce 0.0000 0.0000 0.0000 x2  2 Ce 2.86
Ce 0.0690 0.0000 0.7717 x4  1 Ce 2.86
Ce 0.2413 0.5000 0.7117 x4  3 Pu 2.91-3.20
Pu 0.1665 0.0000 0.5243 x4  3 Ce 2.91-3.20, 2 In 3.23
In 0.0000 0.5000 0.5000 x2  2 In 3.16, 6 Ce 3.30-3.35, 4 Pu 3.46
In 0.0940 0.5000 0.2716 x4  2 In 3.16-3.17, 3 Pu 3.23-3.27, 6 Ce 3.35-3.46
In 0.1736 0.5000 0.0228 x4  1 In 3.17, 7 Ce 3.26-3.54

- M_tot (μB/atom) = 1.314

=====

Material: PuNpMnFe
Method: DFT, PBE
State: relaxed

Cell: 6.2803 6.2803 6.2803 Å, 90.00 90.00 90.00°
Closest atoms and distances in Å follow each position.
Space group F-43m (No. 216)
One atom of each set of equivalent atoms:
Pu 0.0000 0.0000 0.0000 x4  4 Np 2.72, 4 Fe 2.72
Np 0.2500 0.2500 0.7500 x4  4 Mn 2.72, 4 Pu 2.72
Mn 0.0000 0.0000 0.5000 x4  4 Fe 2.72, 4 Np 2.72
Fe 0.2500 0.2500 0.2500 x4  4 Mn 2.72, 4 Pu 2.72

- M_tot (μB/atom) = 0.522

=====

Material: Ac14PrDy
Method: DFT, PBE
State: relaxed

Cell: 11.2284 11.1591 11.1607 Å, 90.00 90.00 90.00°
Closest atoms and distances in Å follow each position.
Space group Amm2 (No. 38)
One atom of each set of equivalent atoms:
Ac 0.0000 0.0000 0.0005 x2  12 Ac 3.94-4.01
Ac 0.0000 0.0000 0.5000 x2  12 Ac 3.94-4.02
Ac 0.0000 0.2491 0.2502 x4  12 Ac 3.94-4.01
Ac 0.2546 0.0000 0.7514 x4  1 Dy 3.91, 10 Ac 3.91-4.01, 1 Pr 3.93
Ac 0.2560 0.2492 0.0002 x8  1 Dy 3.90, 10 Ac 3.91-4.01, 1 Pr 3.92
Ac 0.2572 0.0000 0.2491 x4  1 Dy 3.89, 10 Ac 3.91-4.02, 1 Pr 3.91
Ac 0.5000 0.2488 0.7502 x4  8 Ac 3.91, 2 Pr 3.93-3.96, 2 Dy 3.93-3.96
Pr 0.5000 0.0000 0.5005 x2  12 Ac 3.91-3.96
Dy 0.5000 0.0000 0.0000 x2  12 Ac 3.89-3.96

- M_tot (μB/atom) = 0.000

=====

no.,energy (eV/atom)
1,-6.242
2,-11.192
3,-4.156